(1)
An optimized crystal structure of MgP2RhC. Source: the Alexandria database, functional GGA-PBE.

The structure in POSCAR format:
```
MgP2RhC
1.0
4.5981 0.0000 0.0000
0.0000 4.5981 0.0000
0.0000 0.0000 4.6571
Mg P Rh C
1 2 1 1
Direct
0.0000 0.0000 0.0000
0.0000 0.5000 0.0000
0.5000 0.0000 0.0000
0.0000 0.0000 0.5000
0.5000 0.5000 0.5000
```

Calculated values
formation enthalpy at 0 K: 2322 meV per atom


(2)
An optimized crystal structure of MgP2CS. Source: the Alexandria database, functional GGA-PBE.

The structure in POSCAR format:
```
MgP2CS
1.0
3.7157 0.0000 0.0000
0.0000 3.7157 0.0000
0.0000 0.0000 7.9526
Mg P C S
1 2 1 1
Direct
0.0000 0.0000 0.0000
0.0000 0.5000 0.5000
0.5000 0.0000 0.5000
0.5000 0.5000 0.5000
0.5000 0.5000 0.0000
```

Calculated values
formation energy without anion corrections: 0.68 eV per atom
ΔE to the lowest computed polymorph: 0.00 kcal/mol of atoms


(3)
An optimized crystal structure of MgPCS2. Source: the Alexandria database, functional GGA-PBE.

The structure in POSCAR format:
```
MgPCS2
1.0
4.5673 0.0000 0.0000
0.0000 4.5673 0.0000
0.0000 0.0000 3.6641
Mg P C S
1 1 1 2
Direct
0.0000 0.0000 0.0000
0.5000 0.5000 0.0000
0.5000 0.5000 0.5000
0.0000 0.5000 0.5000
0.5000 0.0000 0.5000
```

Calculated values
formation energy without anion corrections: 0.74 eV per atom
ΔE to the lowest computed polymorph: 0.00 kcal/mol of atoms


(4)
An optimized crystal structure of MgP2CS. Source: the Alexandria database, functional GGA-PBE.

The structure in POSCAR format:
```
MgP2CS
1.0
4.8289 0.0000 0.0000
0.0000 4.8289 0.0000
0.0000 0.0000 4.6276
Mg P C S
1 2 1 1
Direct
0.0000 0.0000 0.0000
0.0000 0.5000 0.0000
0.5000 0.0000 0.0000
0.5000 0.5000 0.5000
0.0000 0.0000 0.5000
```

Calculated values
formation energy without anion corrections: 2.13 eV per atom
ΔE to the lowest computed polymorph: 33.38 kcal/mol of atoms


(5)
An optimized crystal structure of MgPCS2. Source: the Alexandria database, functional GGA-PBE.

The structure in POSCAR format:
```
MgPCS2
1.0
4.7128 0.0000 0.0000
0.0000 4.7128 0.0000
0.0000 0.0000 4.9164
Mg P C S
1 1 1 2
Direct
0.0000 0.0000 0.0000
0.0000 0.0000 0.5000
0.5000 0.5000 0.5000
0.0000 0.5000 0.0000
0.5000 0.0000 0.0000
```

Calculated values
formation energy without anion corrections: 1.93 eV per atom
ΔE to the lowest computed polymorph: 27.51 kcal/mol of atoms


(6)
An optimized crystal structure of MgTiP2C. Source: the Alexandria database, functional GGA-PBE.

The structure in POSCAR format:
```
MgTiP2C
1.0
4.7257 0.0000 0.0000
0.0000 4.7257 0.0000
0.0000 0.0000 3.9025
Mg Ti P C
1 1 2 1
Direct
0.0000 0.0000 0.0000
0.5000 0.5000 0.5000
0.0000 0.5000 0.0000
0.5000 0.0000 0.0000
0.0000 0.0000 0.5000
```

Calculated values
formation enthalpy at 0 K: 1371 meV per atom


(7)
An optimized crystal structure of MgPa3C. Source: the Alexandria database, functional GGA-PBE.

The structure in POSCAR format:
```
MgPa3C
1.0
4.8083 0.0000 0.0000
0.0000 4.8083 0.0000
0.0000 0.0000 4.8083
Mg Pa C
1 3 1
Direct
0.0000 0.0000 0.0000
0.0000 0.5000 0.5000
0.5000 0.0000 0.5000
0.5000 0.5000 0.0000
0.5000 0.5000 0.5000
```

Calculated values
formation enthalpy at 0 K: -37 meV per atom


(8)
An optimized crystal structure of MgPa4C5. Source: the Alexandria database, functional GGA-PBE.

The structure in POSCAR format:
```
MgPa4C5
1.0
-1.8207 2.4619 8.9505
1.8207 -2.4619 8.9505
1.8207 2.4619 -8.9505
Mg Pa C
1 4 5
Direct
0.0000 0.0000 0.0000
0.1983 0.1983 0.0000
0.4056 0.4056 0.0000
0.5944 0.5944 0.0000
0.8017 0.8017 0.0000
0.1093 0.6093 0.5000
0.3057 0.8057 0.5000
0.5000 0.0000 0.5000
0.6943 0.1943 0.5000
0.8907 0.3907 0.5000
```

Calculated values
formation enthalpy at 0 K: -238 meV per atom


(9)
An optimized crystal structure of MgPaC. Source: the Alexandria database, functional GGA-PBE.

The structure in POSCAR format:
```
MgPaC
1.0
-1.7115 1.7115 10.8620
1.7115 -1.7115 10.8620
1.7115 1.7115 -10.8620
Mg Pa C
2 2 2
Direct
0.0715 0.0715 0.0000
0.9285 0.9285 0.0000
0.3129 0.3129 0.0000
0.6871 0.6871 0.0000
0.2048 0.2048 0.0000
0.7952 0.7952 0.0000
```

Calculated values
formation enthalpy at 0 K: -66 meV per atom


(10)
An optimized crystal structure of MgPa2C. Source: the Alexandria database, functional GGA-PBE.

The structure in POSCAR format:
```
MgPa2C
1.0
1.6255 0.9385 9.8287
-1.6255 0.9385 9.8287
0.0000 -1.8770 9.8287
Mg Pa C
1 2 1
Direct
0.0000 0.0000 0.0000
0.1152 0.1152 0.1152
0.8848 0.8848 0.8848
0.5000 0.5000 0.5000
```

Calculated values
formation enthalpy at 0 K: 4 meV per atom


(11)
An optimized crystal structure of MgPaSnC. Source: the Alexandria database, functional GGA-PBE.

The structure in POSCAR format:
```
MgPaSnC
1.0
4.3137 0.0000 0.0000
0.0000 4.3137 0.0000
0.0000 0.0000 8.8766
Mg Pa Sn C
2 2 2 2
Direct
0.2500 0.7500 0.0000
0.7500 0.2500 0.0000
0.2500 0.2500 0.3890
0.7500 0.7500 0.6110
0.2500 0.2500 0.7762
0.7500 0.7500 0.2238
0.2500 0.7500 0.5000
0.7500 0.2500 0.5000
```

Calculated values
formation enthalpy at 0 K: -215 meV per atom


(12)
An optimized crystal structure of MgPaTe2C. Source: the Alexandria database, functional GGA-PBE.

The structure in POSCAR format:
```
MgPaTe2C
1.0
4.0986 0.0000 0.0000
0.0000 4.0986 0.0000
0.0000 0.0000 14.1197
Mg Pa Te C
2 2 4 2
Direct
0.2500 0.2500 0.0935
0.7500 0.7500 0.9065
0.2500 0.2500 0.5819
0.7500 0.7500 0.4181
0.2500 0.2500 0.3083
0.2500 0.2500 0.8859
0.7500 0.7500 0.1141
0.7500 0.7500 0.6917
0.2500 0.7500 0.5000
0.7500 0.2500 0.5000
```

Calculated values
formation energy without anion corrections: -0.60 eV per atom


(13)
An optimized crystal structure of MgPb2C. Source: the Alexandria database, functional GGA-PBE.

The structure in POSCAR format:
```
MgPb2C
1.0
-3.6778 3.6778 3.3707
3.6778 -3.6778 3.3707
3.6778 3.6778 -3.3707
Mg Pb C
2 4 2
Direct
0.0000 0.0000 0.0000
0.7500 0.2500 0.5000
0.1974 0.6250 0.0724
0.3750 0.4474 0.5724
0.5526 0.1250 0.9276
0.8750 0.8026 0.4276
0.2500 0.7500 0.5000
0.5000 0.5000 0.0000
```

Calculated values
formation enthalpy at 0 K: 893 meV per atom
ΔE to the lowest computed polymorph: 0.00 kcal/mol of atoms


(14)
An optimized crystal structure of MgPb2C. Source: the Alexandria database, functional GGA-PBE.

The structure in POSCAR format:
```
MgPb2C
1.0
0.0000 3.5441 3.5441
3.5441 0.0000 3.5441
3.5441 3.5441 0.0000
Mg Pb C
1 2 1
Direct
0.0000 0.0000 0.0000
0.2500 0.2500 0.2500
0.7500 0.7500 0.7500
0.5000 0.5000 0.5000
```

Calculated values
formation enthalpy at 0 K: 1283 meV per atom
ΔE to the lowest computed polymorph: 8.99 kcal/mol of atoms